# GGA-PBE La2Pm2NdDy, relaxed
# - E_tot (eV/atom) = -4.7348
# - formation enthalpy at 0 K (meV/atom) = 53
# - M_tot (μB per formula unit) = 0.000
data_La2Pm2NdDy
_cell_length_a 7.1447
_cell_length_b 5.8039
_cell_length_c 10.0692
_cell_angle_alpha 90.00
_cell_angle_beta 90.00
_cell_angle_gamma 90.00
_symmetry_space_group_name_H-M 'P m m a'
_symmetry_Int_Tables_number 51
_symmetry_space_group_name_Hall '-P 2a 2a'
loop_
_atom_site_label
_atom_site_fract_x
_atom_site_fract_y
_atom_site_fract_z
_atom_site_occupancy
La1 0.0000 0.0000 0.0000 1
La2 0.2500 0.5000 0.1709 1
Pm1 0.2500 0.0000 0.3323 1
Pm2 0.2500 0.5000 0.8346 1
Nd1 0.0000 0.5000 0.5000 1
Dy1 0.2500 0.0000 0.6629 1